[1]
GdDyZnHg | GGA-PBE | relaxed

abc: 7.347 7.347 7.347
angles: 90.00 90.00 90.00
Atoms (fractional coordinates):
Gd: 0.000 0.000 0.000
Gd: 0.000 0.500 0.500
Gd: 0.500 0.000 0.500
Gd: 0.500 0.500 0.000
Dy: 0.000 0.000 0.500
Dy: 0.000 0.500 0.000
Dy: 0.500 0.000 0.000
Dy: 0.500 0.500 0.500
Zn: 0.250 0.250 0.250
Zn: 0.250 0.750 0.750
Zn: 0.750 0.250 0.750
Zn: 0.750 0.750 0.250
Hg: 0.250 0.250 0.750
Hg: 0.250 0.750 0.250
Hg: 0.750 0.250 0.250
Hg: 0.750 0.750 0.750

The space-group type is F-43m (216). The total magnetization is 7.712 μB per formula unit. As for the energy of formation: -0.404 eV per atom.

[2]
TlAs3H | GGA-PBE | relaxed

abc: 5.426 5.426 5.426
angles: 90.00 90.00 90.00
Atoms (fractional coordinates):
Tl: 0.000 0.000 0.000
As: 0.000 0.000 0.500
As: 0.000 0.500 0.000
As: 0.500 0.000 0.000
H: 0.500 0.500 0.500

The value obtained for the raw total energy is -2.36 eV per atom. The space-group type is Pm-3m (221). The total magnetization is 1.050 μB per formula unit.

[3]
Sm5Tm2In4 | GGA-PBE | relaxed

abc: 8.721 3.415 10.649
angles: 90.00 95.57 90.00
Atoms (fractional coordinates):
Sm: 0.000 0.000 0.000
Sm: 0.037 0.000 0.335
Sm: 0.341 0.000 0.859
Sm: 0.659 0.000 0.141
Sm: 0.963 0.000 0.665
Tm: 0.418 0.000 0.362
Tm: 0.582 0.000 0.638
In: 0.258 0.500 0.575
In: 0.300 0.500 0.124
In: 0.700 0.500 0.876
In: 0.742 0.500 0.425

The space-group type is P2/m (10). The total magnetization is 0.306 μB per formula unit. As for the energy of formation: -0.273 eV per atom.

[4]
La7Er2Th2 | GGA-PBE | relaxed

abc: 6.436 6.436 10.223
angles: 91.28 91.28 114.10
Atoms (fractional coordinates):
La: 0.000 0.000 0.000
La: 0.186 0.590 0.152
La: 0.294 0.294 0.699
La: 0.410 0.814 0.848
La: 0.590 0.186 0.152
La: 0.706 0.706 0.301
La: 0.814 0.410 0.848
Er: 0.273 0.727 0.500
Er: 0.727 0.273 0.500
Th: 0.177 0.177 0.365
Th: 0.823 0.823 0.635

The space-group type is C2/m (12). The total magnetization is 0.003 μB per formula unit. As for the energy of formation: 0.100 eV per atom.

[5]
Pu2ReNi | GGA-PBE | relaxed

abc: 2.531 2.531 9.811
angles: 90.00 90.00 90.00
Atoms (fractional coordinates):
Pu: 0.000 0.000 0.232
Pu: 0.000 0.000 0.768
Re: 0.500 0.500 0.500
Ni: 0.500 0.500 0.000

The space-group type is P4/mmm (123). The total magnetization is 0.385 μB per formula unit. As for the energy of formation: 0.452 eV per atom.

[6]
ScGa2Au | GGA-PBE | relaxed

abc: 4.163 4.163 4.102
angles: 90.00 90.00 90.00
Atoms (fractional coordinates):
Sc: 0.000 0.000 0.000
Ga: 0.000 0.500 0.500
Ga: 0.500 0.000 0.500
Au: 0.500 0.500 0.000

The space-group type is P4/mmm (123). The total magnetization is 0.000 μB per formula unit. As for the energy of formation: -0.566 eV per atom.

no.,theoretical density (g cm⁻³)
1,9.81
2,4.47
3,8.15
4,7.61
5,19.36
6,8.91